Entry 1:
## BeZnMo2 (PBE)

Data for a relaxed structure of BeZnMo2.

Lattice parameters (Å, degrees): 4.8025 4.8025 4.8025 134.51 134.51 66.29
Closest atoms and distances in Å follow each position.
Atoms (fractional coordinates):
Zn 0.2500 0.7500 0.5000  4 Be 2.63, 8 Mo 2.74
Mo 0.0000 0.0000 0.0000  4 Mo 2.63, 4 Be 2.74, 4 Zn 2.74
Mo 0.5000 0.5000 0.0000  4 Mo 2.63, 4 Be 2.74, 4 Zn 2.74
Be 0.7500 0.2500 0.5000  4 Zn 2.63, 8 Mo 2.74

## Properties
Calculated volume   13.86 A^3/atom
Total DFT energy (no corrections)   -0.239 Ha/atom
ΔE_f   0.66 eV/f.u.
Spin magnetization   0.0 Bohr magnetons per cell
Energy relative to the lowest polymorph listed for this composition   0.32 eV per formula unit

Entry 2:
## PmTh2PN5 (PBE)

Data for a relaxed structure of PmTh2PN5.

Lattice parameters (Å, degrees): 5.6246 6.7438 6.7438 90.00 90.00 90.00
Closest atoms and distances in Å follow each position.
Atoms (fractional coordinates):
N 0.7792 0.3690 0.1310  1 P 1.76
N 0.5000 0.0000 0.0000  4 Th 2.48
N 0.2208 0.3690 0.1310  1 P 1.76
N 0.7792 0.6310 0.8690  1 P 1.76
N 0.2208 0.8690 0.3690  1 P 1.76
N 0.2208 0.6310 0.8690  1 P 1.76
N 0.2208 0.1310 0.6310  1 P 1.76
N 0.7792 0.1310 0.6310  1 P 1.76
N 0.5000 0.5000 0.5000  4 Th 2.48
N 0.7792 0.8690 0.3690  1 P 1.76
Pm 0.0000 0.5000 0.5000  10 N 2.81-2.92
Pm 0.0000 0.0000 0.0000  10 N 2.81-2.92
Th 0.5000 0.1790 0.3210  8 N 2.40-2.63
Th 0.5000 0.3210 0.8210  8 N 2.40-2.63
Th 0.5000 0.6790 0.1790  8 N 2.40-2.63
Th 0.5000 0.8210 0.6790  8 N 2.40-2.63
P 0.0000 0.0000 0.5000  4 N 1.76
P 0.0000 0.5000 0.0000  4 N 1.76

## Properties
Calculated volume   14.21 A^3/atom
Energy relative to the elements, uncorrected   -9.267 eV/f.u.
Total DFT energy (no corrections)   -0.310 Ha/atom
Spin magnetization   0.0 Bohr magnetons per cell

Entry 3:
## Ba2InAg4Hg3 (PBE)

Data for a relaxed structure of Ba2InAg4Hg3.

Lattice parameters (Å, degrees): 4.7352 4.7352 12.3857 90.00 90.00 90.00
Closest atoms and distances in Å follow each position.
Atoms (fractional coordinates):
Hg 0.0000 0.0000 0.5000  4 Ag 2.92
Hg 0.0000 0.5000 0.1329  5 Ag 2.84-2.88
Hg 0.5000 0.0000 0.8671  5 Ag 2.84-2.88
Ba 0.5000 0.0000 0.2413  6 Hg 3.61-3.98, 8 Ag 3.67-3.81, 2 In 3.98
Ba 0.0000 0.5000 0.7587  6 Hg 3.61-3.98, 8 Ag 3.67-3.81, 2 In 3.98
Ag 0.0000 0.0000 0.0000  4 Hg 2.88
Ag 0.0000 0.5000 0.3626  3 Hg 2.84-2.92, 2 In 2.92
Ag 0.5000 0.5000 0.0000  4 Hg 2.88
Ag 0.5000 0.0000 0.6374  3 Hg 2.84-2.92, 2 In 2.92
In 0.5000 0.5000 0.5000  4 Ag 2.92

## Properties
Calculated volume   27.77 A^3/atom
Total DFT energy (no corrections)   -0.079 Ha/atom
ΔE_f   -2.59 eV/f.u.
Spin magnetization   0.0 Bohr magnetons per cell

Entry 4:
## DyHo8 (PBE)

Data for a relaxed structure of DyHo8.

Lattice parameters (Å, degrees): 4.9673 7.8693 7.8693 84.28 71.60 71.60
Closest atoms and distances in Å follow each position.
Atoms (fractional coordinates):
Ho 0.6668 0.6664 0.0000  10 Ho 3.51-3.52, 2 Dy 3.52
Ho 0.0000 0.3335 0.6665  11 Ho 3.51-3.52, 1 Dy 3.52
Ho 0.6668 0.0000 0.6664  10 Ho 3.51-3.52, 2 Dy 3.52
Ho 0.3335 0.6665 0.6665  11 Ho 3.51-3.52, 1 Dy 3.52
Ho 0.6665 0.3335 0.3335  11 Ho 3.51-3.52, 1 Dy 3.52
Ho 0.0000 0.6665 0.3335  11 Ho 3.51-3.52, 1 Dy 3.52
Ho 0.3332 0.0000 0.3336  10 Ho 3.51-3.52, 2 Dy 3.52
Ho 0.3332 0.3336 0.0000  10 Ho 3.51-3.52, 2 Dy 3.52
Dy 0.0000 0.0000 0.0000  12 Ho 3.52

## Properties
Calculated volume   30.77 A^3/atom
Total DFT energy (no corrections)   -0.168 Ha/atom
ΔE_f   0.18 eV/f.u.
Spin magnetization   0.0 Bohr magnetons per cell